VASP calculation (PBE-GGA) on a relaxed structure of Pr2HoMg3In2Hg.

a b c (Å): 4.7094 7.6105 7.6105
angles (deg): 119.00 90.00 90.00
Element x y z (fractional)
1 Mg 0.5000 0.0000 0.7608
2 Mg 0.5000 0.7608 0.0000
3 Mg 0.5000 0.2371 0.2371
4 In 0.5000 0.3406 0.6654
5 In 0.5000 0.6654 0.3406
6 Hg 0.0000 0.9893 0.9893
7 Ho 0.0000 0.5845 0.5845
8 Pr 0.0000 0.0026 0.4198
9 Pr 0.0000 0.4198 0.0026

Calculated values
* total energy: -3.1544 eV per atom
* volume: 26.5 Å³/atom